(1)
DFT (PBE with a Hubbard U) results for an optimized crystal structure of Sr2Fe2O5.

Unit cell a=3.9592 b=3.9592 c=7.8117 alpha=90.00 beta=90.00 gamma=90.00
Site moments in Bohr magnetons follow the coordinates.
Atoms (fractional coordinates):
Sr  0.0000  0.0000  0.0000  0.00
Sr  0.0000  0.0000  0.5000  -0.01
Fe  0.5000  0.5000  0.2550  4.32
Fe  0.5000  0.5000  0.7450  4.32
O  0.5000  0.0000  0.2154  0.21
O  0.5000  0.0000  0.7846  0.21
O  0.5000  0.5000  0.5000  0.24
O  0.0000  0.5000  0.2154  0.21
O  0.0000  0.5000  0.7846  0.21

The relative energy among the computed polymorphs is 56 meV/atom. The calculation puts the uncorrected energy at -6.438 eV per atom.

=====

(2)
DFT (PBE with a Hubbard U) results for an optimized crystal structure of Sr2TaFeO6.

Unit cell a=5.6612 b=5.6754 c=8.0088 alpha=90.02 beta=90.00 gamma=90.00
Site moments in Bohr magnetons follow the coordinates.
Atoms (fractional coordinates):
Sr  0.0125  0.9973  0.7503  0.00
Sr  0.5125  0.5027  0.7497  0.00
Sr  0.4875  0.4973  0.2503  0.00
Sr  0.9875  0.0027  0.2497  0.00
Ta  0.5000  0.0000  0.5000  0.06
Ta  0.0000  0.5000  0.0000  0.06
Fe  0.5000  0.0000  0.0000  4.35
Fe  0.0000  0.5000  0.5000  4.35
O  0.0051  0.5501  0.2473  0.09
O  0.5051  0.9499  0.2527  0.09
O  0.9949  0.4499  0.7527  0.09
O  0.4949  0.0501  0.7473  0.09
O  0.2663  0.7292  0.9739  0.08
O  0.7663  0.7708  0.5261  0.08
O  0.7337  0.2708  0.0261  0.08
O  0.2337  0.2292  0.4739  0.08
O  0.7295  0.2657  0.4742  0.08
O  0.2295  0.2343  0.0258  0.08
O  0.2705  0.7343  0.5258  0.08
O  0.7705  0.7657  0.9742  0.08

The calculation puts the uncorrected energy at -7.752 eV per atom.

=====

(3)
DFT (PBE with a Hubbard U) results for an optimized crystal structure of Sr3Ta2FeO9.

Unit cell a=5.7162 b=5.7162 c=7.0536 alpha=90.00 beta=90.00 gamma=120.00
Site moments in Bohr magnetons follow the coordinates.
Atoms (fractional coordinates):
Sr  0.3333  0.6667  0.6593  -0.01
Sr  0.0000  0.0000  0.0000  0.00
Sr  0.6667  0.3333  0.3407  -0.01
Ta  0.3333  0.6667  0.1753  -0.08
Ta  0.6667  0.3333  0.8247  -0.08
Fe  0.0000  0.0000  0.5000  3.97
O  0.8304  0.1696  0.6724  0.04
O  0.8304  0.6609  0.6724  0.04
O  0.3391  0.1696  0.6724  0.04
O  0.6609  0.8304  0.3276  0.04
O  0.1696  0.3391  0.3276  0.04
O  0.1696  0.8304  0.3276  0.04
O  0.5000  0.0000  0.0000  0.01
O  0.0000  0.5000  0.0000  0.01
O  0.5000  0.5000  0.0000  0.01

The calculation puts the uncorrected energy at -8.045 eV per atom.

=====

(4)
DFT (PBE with a Hubbard U) results for an optimized crystal structure of Sr2TbFeO5.

Unit cell a=3.4486 b=7.3657 c=10.9358 alpha=90.00 beta=90.00 gamma=103.54
Site moments in Bohr magnetons follow the coordinates.
Atoms (fractional coordinates):
Sr  0.8679  0.7358  0.7788  0.00
Sr  0.1177  0.2355  0.7091  0.00
Sr  0.1321  0.2642  0.2788  0.00
Sr  0.8823  0.7645  0.2091  0.00
Tb  0.7821  0.5642  0.5027  0.02
Tb  0.2179  0.4358  0.0027  0.02
Fe  0.5056  0.0112  0.9724  4.25
Fe  0.4944  0.9888  0.4724  4.25
O  0.3765  0.7531  0.0189  0.15
O  0.7042  0.4085  0.8666  0.01
O  0.4975  0.9951  0.7999  0.18
O  0.2876  0.5752  0.6432  0.00
O  0.9472  0.8944  0.5323  0.20
O  0.6235  0.2469  0.5189  0.15
O  0.2958  0.5915  0.3666  0.01
O  0.5025  0.0049  0.2999  0.18
O  0.7124  0.4248  0.1432  0.00
O  0.0528  0.1056  0.0323  0.20

The calculation puts the uncorrected energy at -6.895 eV per atom.

=====

(5)
DFT (PBE with a Hubbard U) results for an optimized crystal structure of SrTb2Fe2O7.

Unit cell a=5.5919 b=5.5919 c=19.5835 alpha=90.00 beta=90.00 gamma=90.00
Site moments in Bohr magnetons follow the coordinates.
Atoms (fractional coordinates):
Sr  0.2591  0.2591  0.0000  0.00
Sr  0.2409  0.7591  0.5000  0.00
Sr  0.7591  0.2409  0.5000  0.00
Sr  0.7409  0.7409  0.0000  0.00
Tb  0.2773  0.2773  0.1833  0.01
Tb  0.2227  0.7773  0.6833  0.01
Tb  0.7773  0.2227  0.6833  0.01
Tb  0.7773  0.2227  0.3167  0.01
Tb  0.2227  0.7773  0.3167  0.01
Tb  0.7227  0.7227  0.1833  0.01
Tb  0.2773  0.2773  0.8167  0.01
Tb  0.7227  0.7227  0.8167  0.01
Fe  0.2584  0.2584  0.3992  4.37
Fe  0.2416  0.7584  0.8992  4.37
Fe  0.7584  0.2416  0.8992  4.37
Fe  0.7584  0.2416  0.1008  4.37
Fe  0.2416  0.7584  0.1008  4.37
Fe  0.7416  0.7416  0.3992  4.37
Fe  0.2584  0.2584  0.6008  4.37
Fe  0.7416  0.7416  0.6008  4.37
O  0.7038  0.7038  0.5000  0.22
O  0.7962  0.2038  0.0000  0.22
O  0.2038  0.7962  0.0000  0.22
O  0.2962  0.2962  0.5000  0.22
O  0.1858  0.1858  0.2897  0.07
O  0.3142  0.6858  0.7897  0.07
O  0.6858  0.3142  0.7897  0.07
O  0.6858  0.3142  0.2103  0.07
O  0.3142  0.6858  0.2103  0.07
O  0.8142  0.8142  0.2897  0.07
O  0.1858  0.1858  0.7103  0.07
O  0.8142  0.8142  0.7103  0.07
O  0.0000  0.5000  0.1121  0.17
O  0.0000  0.5000  0.6121  0.17
O  0.5000  0.0000  0.3879  0.17
O  0.5000  0.0000  0.8879  0.17
O  0.0000  0.5000  0.8879  0.17
O  0.0000  0.5000  0.3879  0.17
O  0.5000  0.0000  0.6121  0.17
O  0.5000  0.0000  0.1121  0.17
O  0.0000  0.0000  0.1312  0.20
O  0.5000  0.5000  0.6312  0.20
O  0.5000  0.5000  0.3688  0.20
O  0.0000  0.0000  0.8688  0.20
O  0.0000  0.0000  0.4099  0.17
O  0.5000  0.5000  0.9099  0.17
O  0.5000  0.5000  0.0901  0.17
O  0.0000  0.0000  0.5901  0.17

The calculation puts the uncorrected energy at -7.332 eV per atom.

=====

(6)
DFT (PBE with a Hubbard U) results for an optimized crystal structure of SrFeTc2O8.

Unit cell a=5.8149 b=5.8149 c=6.8202 alpha=90.00 beta=90.00 gamma=120.00
Site moments in Bohr magnetons follow the coordinates.
Atoms (fractional coordinates):
Sr  0.0000  0.0000  0.0000  0.01
Fe  0.0000  0.0000  0.5000  3.78
Tc  0.6667  0.3333  0.2298  0.71
Tc  0.3333  0.6667  0.7702  0.71
O  0.3333  0.6667  0.0291  0.09
O  0.3230  0.1614  0.3019  0.06
O  0.8386  0.1616  0.3019  0.06
O  0.6667  0.3333  0.9709  0.09
O  0.1614  0.8384  0.6981  0.06
O  0.6770  0.8386  0.6981  0.06
O  0.1616  0.3230  0.6981  0.06
O  0.8384  0.6770  0.3019  0.06

The calculation puts the uncorrected energy at -7.277 eV per atom.